# Y12Tc3N5 | Alexandria | GGA-PBE | optimized geometry
# **E_tot**: -8.175 eV per atom
# **Total magnetization**: 0.00 Bohr magnetons per cell
# **Formation energy without anion corrections**: -63.7 kJ per mole of atoms
data_Y12Tc3N5
_chemical_formula_sum 'Y96 Tc24 N40'
_symmetry_space_group_name_H-M 'I a -3 d'
_symmetry_Int_Tables_number 230
_symmetry_space_group_name_Hall '-I 4bd 2c 3'
_cell_length_a 15.221
_cell_length_b 15.221
_cell_length_c 15.221
_cell_angle_alpha 90.00
_cell_angle_beta 90.00
_cell_angle_gamma 90.00
loop_
_atom_site_label
_atom_site_type_symbol
_atom_site_fract_x
_atom_site_fract_y
_atom_site_fract_z
Y1 Y 0.028 0.053 0.652
Tc1 Tc 0.000 0.250 0.125
N1 N 0.000 0.000 0.000
N2 N 0.000 0.250 0.375


# Y2TcN3 | Alexandria | GGA-PBE | optimized geometry
# **E_tot**: -9.061 eV per atom
# **Total magnetization**: 0.00 Bohr magnetons per cell
# **Formation energy without anion corrections**: -98.0 kJ per mole of atoms
data_Y2TcN3
_chemical_formula_sum 'Y16 Tc8 N24'
_symmetry_space_group_name_H-M 'C 1 2/c 1'
_symmetry_Int_Tables_number 15
_cell_length_a 5.221
_cell_length_b 10.749
_cell_length_c 11.809
_cell_angle_alpha 90.00
_cell_angle_beta 95.25
_cell_angle_gamma 90.00
loop_
_symmetry_equiv_pos_as_xyz
'x,y,z'
'-x,-y,-z'
'-x,y,-z+1/2'
'x,-y,z+1/2'
'x+1/2,y+1/2,z'
'-x+1/2,-y+1/2,-z'
'-x+1/2,y+1/2,-z+1/2'
'x+1/2,-y+1/2,z+1/2'
loop_
_atom_site_label
_atom_site_type_symbol
_atom_site_fract_x
_atom_site_fract_y
_atom_site_fract_z
Y1 Y 0.223 0.206 0.360
Y2 Y 0.231 0.106 0.931
Tc1 Tc 0.205 0.489 0.829
N1 N 0.000 0.014 0.250
N2 N 0.000 0.368 0.250
N3 N 0.193 0.312 0.874
N4 N 0.240 0.100 0.532


# YTc2N | Alexandria | GGA-PBE | optimized geometry
# **E_tot**: -8.729 eV per atom
# **Total magnetization**: 0.00 Bohr magnetons per cell
# **Formation energy without anion corrections**: 14.6 kJ per mole of atoms
data_YTc2N
_chemical_formula_sum 'Y4 Tc8 N4'
_symmetry_space_group_name_H-M 'I -4 2 d'
_symmetry_Int_Tables_number 122
_symmetry_space_group_name_Hall 'I -4 2bw'
_cell_length_a 5.944
_cell_length_b 5.944
_cell_length_c 8.447
_cell_angle_alpha 90.00
_cell_angle_beta 90.00
_cell_angle_gamma 90.00
loop_
_atom_site_label
_atom_site_type_symbol
_atom_site_fract_x
_atom_site_fract_y
_atom_site_fract_z
Y1 Y 0.000 0.000 0.000
Tc1 Tc 0.086 0.250 0.625
N1 N 0.000 0.000 0.500


# Zn3TcN | Alexandria | GGA-PBE | optimized geometry
# **E_tot**: -3.782 eV per atom
# **Total magnetization**: 1.94 Bohr magnetons per cell
# **E above lowest polymorph**: 0.000 eV/atom
# **Formation energy without anion corrections**: 69.5 kJ per mole of atoms
data_Zn3TcN
_chemical_formula_sum 'Zn3 Tc1 N1'
_symmetry_space_group_name_H-M 'P m -3 m'
_symmetry_Int_Tables_number 221
_symmetry_space_group_name_Hall '-P 4 2 3'
_cell_length_a 4.093
_cell_length_b 4.093
_cell_length_c 4.093
_cell_angle_alpha 90.00
_cell_angle_beta 90.00
_cell_angle_gamma 90.00
loop_
_atom_site_label
_atom_site_type_symbol
_atom_site_fract_x
_atom_site_fract_y
_atom_site_fract_z
Zn1 Zn 0.000 0.000 0.500
Tc1 Tc 0.500 0.500 0.500
N1 N 0.000 0.000 0.000


# ZnTcN | Alexandria | GGA-PBE | optimized geometry
# **E_tot**: -6.563 eV per atom
# **Total magnetization**: 0.00 Bohr magnetons per cell
# **E above lowest polymorph**: 0.150 eV/atom
# **Formation energy without anion corrections**: 8.9 kJ per mole of atoms
data_ZnTcN
_chemical_formula_sum 'Zn2 Tc2 N2'
_symmetry_space_group_name_H-M 'P -1'
_symmetry_Int_Tables_number 2
_cell_length_a 2.823
_cell_length_b 4.703
_cell_length_c 5.554
_cell_angle_alpha 103.38
_cell_angle_beta 91.79
_cell_angle_gamma 92.26
loop_
_symmetry_equiv_pos_as_xyz
'x,y,z'
'-x,-y,-z'
loop_
_atom_site_label
_atom_site_type_symbol
_atom_site_fract_x
_atom_site_fract_y
_atom_site_fract_z
Zn1 Zn 0.240 0.308 0.095
Tc1 Tc 0.273 0.240 0.570
N1 N 0.227 0.931 0.234


# Zn3TcN | Alexandria | GGA-PBE | optimized geometry
# **E_tot**: -2.736 eV per atom
# **Total magnetization**: 4.67 Bohr magnetons per cell
# **E above lowest polymorph**: 1.046 eV/atom
# **Formation energy without anion corrections**: 170.4 kJ per mole of atoms
data_Zn3TcN
_chemical_formula_sum 'Zn3 Tc1 N1'
_symmetry_space_group_name_H-M 'P m -3 m'
_symmetry_Int_Tables_number 221
_symmetry_space_group_name_Hall '-P 4 2 3'
_cell_length_a 4.981
_cell_length_b 4.981
_cell_length_c 4.981
_cell_angle_alpha 90.00
_cell_angle_beta 90.00
_cell_angle_gamma 90.00
loop_
_atom_site_label
_atom_site_type_symbol
_atom_site_fract_x
_atom_site_fract_y
_atom_site_fract_z
Zn1 Zn 0.000 0.000 0.500
Tc1 Tc 0.000 0.000 0.000
N1 N 0.500 0.500 0.500


# Zn2Tc2N | Alexandria | GGA-PBE | optimized geometry
# **E_tot**: -6.211 eV per atom
# **Total magnetization**: 0.00 Bohr magnetons per cell
# **E above lowest polymorph**: 0.000 eV/atom
# **Formation energy without anion corrections**: 10.6 kJ per mole of atoms
data_Zn2Tc2N
_chemical_formula_sum 'Zn4 Tc4 N2'
_symmetry_space_group_name_H-M 'P 4/m b m'
_symmetry_Int_Tables_number 127
_symmetry_space_group_name_Hall '-P 4 2ab'
_cell_length_a 5.475
_cell_length_b 5.475
_cell_length_c 4.556
_cell_angle_alpha 90.00
_cell_angle_beta 90.00
_cell_angle_gamma 90.00
loop_
_atom_site_label
_atom_site_type_symbol
_atom_site_fract_x
_atom_site_fract_y
_atom_site_fract_z
Zn1 Zn 0.159 0.341 0.000
Tc1 Tc 0.169 0.669 0.500
N1 N 0.000 0.000 0.500


# ZnTcN | Alexandria | GGA-PBE | optimized geometry
# **E_tot**: -6.652 eV per atom
# **Total magnetization**: 0.00 Bohr magnetons per cell
# **E above lowest polymorph**: 0.062 eV/atom
# **Formation energy without anion corrections**: 0.3 kJ per mole of atoms
data_ZnTcN
_chemical_formula_sum 'Zn2 Tc2 N2'
_symmetry_space_group_name_H-M 'P 1 21/m 1'
_symmetry_Int_Tables_number 11
_cell_length_a 4.366
_cell_length_b 2.884
_cell_length_c 5.776
_cell_angle_alpha 90.00
_cell_angle_beta 95.29
_cell_angle_gamma 90.00
loop_
_symmetry_equiv_pos_as_xyz
'x,y,z'
'-x,-y,-z'
'-x,y+1/2,-z'
'x,-y+1/2,z'
loop_
_atom_site_label
_atom_site_type_symbol
_atom_site_fract_x
_atom_site_fract_y
_atom_site_fract_z
Zn1 Zn 0.246 0.250 0.474
Tc1 Tc 0.302 0.750 0.877
N1 N 0.225 0.250 0.117


# Zn2TcN3 | Alexandria | GGA-PBE | optimized geometry
# **E_tot**: -6.220 eV per atom
# **Total magnetization**: 0.01 Bohr magnetons per cell
# **Formation energy without anion corrections**: 9.2 kJ per mole of atoms
data_Zn2TcN3
_chemical_formula_sum 'Zn8 Tc4 N12'
_symmetry_space_group_name_H-M 'C m c 21'
_symmetry_Int_Tables_number 36
_cell_length_a 9.913
_cell_length_b 5.639
_cell_length_c 5.351
_cell_angle_alpha 90.00
_cell_angle_beta 90.00
_cell_angle_gamma 90.00
loop_
_symmetry_equiv_pos_as_xyz
'x,y,z'
'-x,-y,z+1/2'
'-x,y,z'
'x,-y,z+1/2'
'x+1/2,y+1/2,z'
'-x+1/2,-y+1/2,z+1/2'
'-x+1/2,y+1/2,z'
'x+1/2,-y+1/2,z+1/2'
loop_
_atom_site_label
_atom_site_type_symbol
_atom_site_fract_x
_atom_site_fract_y
_atom_site_fract_z
Zn1 Zn 0.168 0.153 0.000
Tc1 Tc 0.000 0.348 0.519
N1 N 0.000 0.330 0.154
N2 N 0.159 0.190 0.619


# ZnTc2N | Alexandria | GGA-PBE | optimized geometry
# **E_tot**: -6.481 eV per atom
# **Total magnetization**: 0.00 Bohr magnetons per cell
# **E above lowest polymorph**: 0.856 eV/atom
# **Formation energy without anion corrections**: 106.4 kJ per mole of atoms
data_ZnTc2N
_chemical_formula_sum 'Zn4 Tc8 N4'
_symmetry_space_group_name_H-M 'F m -3 m'
_symmetry_Int_Tables_number 225
_symmetry_space_group_name_Hall '-F 4 2 3'
_cell_length_a 5.804
_cell_length_b 5.804
_cell_length_c 5.804
_cell_angle_alpha 90.00
_cell_angle_beta 90.00
_cell_angle_gamma 90.00
loop_
_atom_site_label
_atom_site_type_symbol
_atom_site_fract_x
_atom_site_fract_y
_atom_site_fract_z
Zn1 Zn 0.000 0.000 0.000
Tc1 Tc 0.250 0.250 0.250
N1 N 0.000 0.000 0.500


# ZnTcN2 | Alexandria | GGA-PBE | optimized geometry
# **E_tot**: -6.303 eV per atom
# **Total magnetization**: 0.00 Bohr magnetons per cell
# **Formation energy without anion corrections**: 74.2 kJ per mole of atoms
data_ZnTcN2
_chemical_formula_sum 'Zn3 Tc3 N6'
_symmetry_space_group_name_H-M 'R -3 m'
_symmetry_Int_Tables_number 166
_symmetry_space_group_name_Hall '-R 3 2"'
_cell_length_a 3.0262
_cell_length_b 3.0262
_cell_length_c 18.2606
_cell_angle_alpha 90.00
_cell_angle_beta 90.00
_cell_angle_gamma 120.00
loop_
_atom_site_label
_atom_site_type_symbol
_atom_site_fract_x
_atom_site_fract_y
_atom_site_fract_z
Zn1 Zn 0.0000 0.0000 0.0000
Tc1 Tc 0.0000 0.0000 0.5000
N1 N 0.0000 0.0000 0.3991


# ZnTcN2 | Alexandria | GGA-PBE | optimized geometry
# **E_tot**: -6.917 eV per atom
# **Total magnetization**: 0.00 Bohr magnetons per cell
# **Formation energy without anion corrections**: 15.1 kJ per mole of atoms
data_ZnTcN2
_chemical_formula_sum 'Zn4 Tc4 N8'
_symmetry_space_group_name_H-M 'I -4 2 d'
_symmetry_Int_Tables_number 122
_symmetry_space_group_name_Hall 'I -4 2bw'
_cell_length_a 4.618
_cell_length_b 4.618
_cell_length_c 9.345
_cell_angle_alpha 90.00
_cell_angle_beta 90.00
_cell_angle_gamma 90.00
loop_
_atom_site_label
_atom_site_type_symbol
_atom_site_fract_x
_atom_site_fract_y
_atom_site_fract_z
Zn1 Zn 0.000 0.000 0.000
Tc1 Tc 0.000 0.000 0.500
N1 N 0.226 0.250 0.625